[1]
The following is a PBE calculation of a relaxed structure of LiCe2Tl2S6, from Alexandria.

Output
density of states at the Fermi level: 7.5 states/eV per cell
uncorrected formation energy: -1174 meV/atom

Cell: 7.1871 7.1871 7.3262 Å, 97.82 97.82 122.82°
With the nearest neighbours (Å) after each atom.
Fractional coordinates of all 11 atoms:
Tl: 0.8429 0.1571 0.0000  6 S 3.03-3.17
S: 0.0547 0.4260 0.7156  2 Ce 2.72-2.73, 1 Tl 3.03, 1 Li 3.04
S: 0.2591 0.2591 0.3120  1 Li 2.54, 2 Ce 2.74
S: 0.7409 0.7409 0.6880  1 Li 2.54, 2 Ce 2.74
Li: 0.0000 0.0000 0.5000  2 S 2.54
S: 0.5740 0.9453 0.2844  2 Ce 2.72-2.73, 1 Tl 3.03, 1 Li 3.04
Ce: 0.6612 0.3388 0.5000  6 S 2.72-2.74
Tl: 0.1571 0.8429 0.0000  6 S 3.03-3.17
Ce: 0.3388 0.6612 0.5000  6 S 2.72-2.74
S: 0.4260 0.0547 0.7156  2 Ce 2.72-2.73, 1 Tl 3.03, 1 Li 3.04
S: 0.9453 0.5740 0.2844  2 Ce 2.72-2.73, 1 Tl 3.03, 1 Li 3.04

[2]
The following is a PBE calculation of a relaxed structure of LiCeTl2S4, from Alexandria.

Output
density of states at the Fermi level: 5.1 states/eV per cell
uncorrected formation energy: -971 meV/atom

Cell: 8.2692 8.2692 8.2252 Å, 119.80 119.80 89.45°
With the nearest neighbours (Å) after each atom.
Fractional coordinates of all 16 atoms:
S: 0.7679 0.7331 0.9890  1 Ce 2.71, 2 Li 2.88, 2 Tl 3.01
Li: 0.5000 0.5000 0.5000  6 S 2.81-2.88
Tl: 0.5000 0.0000 0.0000  6 S 3.11-3.15
Ce: 0.0000 0.5000 0.5000  6 S 2.71-2.75
S: 0.2331 0.2679 0.4890  1 Ce 2.71, 2 Li 2.88, 2 Tl 3.01
S: 0.2321 0.2669 0.0110  1 Ce 2.71, 2 Li 2.88, 2 Tl 3.01
Tl: 0.0000 0.0000 0.5000  6 S 3.01-3.04
S: 0.2272 0.7072 0.4670  2 Ce 2.75, 1 Li 2.81, 1 Tl 3.04
S: 0.7928 0.2728 0.0330  2 Ce 2.75, 1 Li 2.81, 1 Tl 3.04
Ce: 0.0000 0.5000 0.0000  6 S 2.71-2.75
Tl: 0.5000 0.5000 0.0000  6 S 3.01-3.04
S: 0.7669 0.7321 0.5110  1 Ce 2.71, 2 Li 2.88, 2 Tl 3.01
Tl: 0.5000 0.0000 0.5000  6 S 3.11-3.15
Li: 0.0000 0.0000 0.0000  6 S 2.81-2.88
S: 0.7728 0.2928 0.5330  2 Ce 2.75, 1 Li 2.81, 1 Tl 3.04
S: 0.2072 0.7272 0.9670  2 Ce 2.75, 1 Li 2.81, 1 Tl 3.04

[3]
The following is a PBE calculation of a relaxed structure of LiCe2Tl3S6, from Alexandria.

Output
uncorrected formation energy: -1210 meV/atom

Cell: 7.0599 7.0599 7.7570 Å, 98.52 98.52 120.17°
With the nearest neighbours (Å) after each atom.
Fractional coordinates of all 12 atoms:
Tl: 0.5000 0.5000 0.5000  6 S 3.21-3.27
Li: 0.0000 0.0000 0.0000  6 S 2.80-2.89
Ce: 0.6669 0.3331 0.0000  6 S 2.73-2.74
Tl: 0.1609 0.8391 0.5000  6 S 3.19-3.26
S: 0.5842 0.9335 0.7974  2 Ce 2.74, 1 Li 2.89
S: 0.9335 0.5842 0.7974  2 Ce 2.74, 1 Li 2.89
S: 0.4158 0.0665 0.2026  2 Ce 2.74, 1 Li 2.89
S: 0.0665 0.4158 0.2026  2 Ce 2.74, 1 Li 2.89
S: 0.7210 0.7210 0.1924  2 Ce 2.73, 1 Li 2.80
S: 0.2790 0.2790 0.8076  2 Ce 2.73, 1 Li 2.80
Tl: 0.8391 0.1609 0.5000  6 S 3.19-3.26
Ce: 0.3331 0.6669 0.0000  6 S 2.73-2.74

[4]
The following is a PBE calculation of a relaxed structure of LiCeTlS3, from Alexandria.

Output
uncorrected formation energy: -1310 meV/atom

Cell: 4.1468 8.7662 8.9581 Å, 104.00 90.00 90.00°
With the nearest neighbours (Å) after each atom.
Fractional coordinates of all 12 atoms:
Li: 0.7500 0.9214 0.4076  4 S 2.43
S: 0.2500 0.5403 0.8445  3 Ce 2.79-2.80
S: 0.2500 0.1349 0.8717  1 Li 2.43
Tl: 0.2500 0.1967 0.2456  7 S 3.26-3.52, 1 Li 3.50
Ce: 0.2500 0.6745 0.1621  6 S 2.65-2.80
Li: 0.2500 0.0786 0.5924  4 S 2.43
S: 0.7500 0.1990 0.5381  3 Li 2.43, 1 Ce 2.65
S: 0.2500 0.8010 0.4619  3 Li 2.43, 1 Ce 2.65
S: 0.7500 0.8651 0.1283  1 Li 2.43
Ce: 0.7500 0.3255 0.8379  6 S 2.65-2.80
S: 0.7500 0.4597 0.1555  3 Ce 2.79-2.80
Tl: 0.7500 0.8033 0.7544  7 S 3.26-3.52, 1 Li 3.50